First-principles (meta-GGA SCAN) data for LiTe2PbI at its PBEsol-relaxed geometry, as listed in Alexandria.

Geometry as extended XYZ:
```
5
Lattice="5.791 0.000 0.000 0.000 5.791 0.000 0.000 0.000 6.235" Properties=species:S:1:pos:R:3 pbc="T T T"
Li 0.000 0.000 0.000
Te 0.000 2.895 3.118
Te 2.895 0.000 3.118
Pb 2.895 2.895 3.118
I 2.895 2.895 0.000
```

## Properties
total moment	0.00	μB per formula unit
space group	P4/mmm (123)
polymorph energy (0 for the lowest one)	7.7	kJ/mol of atoms
volume	209	Å³ per cell
formation energy (no corrections)	-0.01	eV per atom
total energy	-37.894	eV per atom
mass density	4.7	g/cm³